Compound: TbNdSmHg
Source: Alexandria via LeMat-Bulk
Functional: PBE
Structure: optimized geometry

For the total energy, the calculation gives -0.282 Ry per atom. Its energy above the most stable polymorph in this dataset is 0.000 eV per atom. For the magnetization, the calculation gives 0.000 μB per cell. The formation energy comes out at -0.2317 eV per atom.

It has space group P4mm (No. 99), with a = 3.6918 Å, b = 3.6918 Å, c = 8.9248 Å, α = 90.00°, β = 90.00° and γ = 90.00°. Symmetry generates all atoms from Tb at (0.0000, 0.0000, 0.0000), Nd at (0.5000, 0.5000, 0.7203), Sm at (0.0000, 0.0000, 0.4359) and Hg at (0.5000, 0.5000, 0.2098).